Compound: CdSeBr
Source: the Alexandria database
Functional: PBE-GGA
Structure: relaxed

a = 6.9642 Å, b = 6.9642 Å, c = 6.9642 Å
α = 90.00°, β = 90.00°, γ = 90.00°
Last column: nearest neighbours and their distance in Å.
Space group F-43m (No. 216)
Symmetry-distinct sites (fractional):
Cd 0.0000 0.0000 0.0000 [4 per cell]  4 Se 3.02
Se 0.2500 0.2500 0.2500 [4 per cell]  4 Cd 3.02, 4 Br 3.02
Br 0.0000 0.0000 0.5000 [4 per cell]  4 Se 3.02

total magnetization	0.00	μB/atom
energy relative to the lowest polymorph listed for this composition	671	meV/atom
volume	337.8	Å³/cell
raw total energy	-22.9	eV/cell
mass density	5.33	g cm⁻³
formation energy from raw total energies	0.354	eV per formula unit